VASP calculation (PBE) on a geometry-optimized AlSb structure.

Total energy: -3.72 eV/atom
Density: 5.23 g/cm3
DOS at the Fermi energy: 0.33 states/eV/atom
Formation energy without anion corrections: 0.21 eV/atom
SG: P-3m1, No. 164

```
AlSb
1.0
3.305 0.000 0.000
-1.652 2.862 0.000
0.000 0.000 9.992
Sb Al
2 2
direct
0.000 0.000 0.455 Sb
0.667 0.333 0.795 Sb
0.000 0.000 0.021 Al
0.667 0.333 0.229 Al
```

VASP calculation (PBE) on a geometry-optimized YHoPa2P4 structure.

Total energy: -7.92 eV/atom
Density: 7.83 g/cm3
ΔH_f (0 K): -1.458 eV/atom
DOS at the Fermi energy: 0.86 states/eV/atom
SG: P2/m, No. 10

```
YHoPa2P4
1.0
-3.547 0.606 1.700
-1.931 -6.369 -1.757
1.670 -4.385 5.048
Y Ho Pa P
1 1 2 4
direct
0.500 0.500 0.000 Y
0.000 0.500 0.500 Ho
0.000 0.000 0.000 Pa
0.500 0.000 0.500 Pa
0.000 0.754 0.748 P
0.000 0.246 0.252 P
0.500 0.753 0.250 P
0.500 0.247 0.750 P
```

VASP calculation (PBE) on a geometry-optimized BaNa2Hg structure.

Total energy: -1.40 eV/atom
Density: 4.32 g/cm3
ΔH_f (0 K): -0.185 eV/atom
DOS at the Fermi energy: 0.73 states/eV/atom
SG: R3m, No. 160

```
BaNa2Hg
1.0
-3.849 -3.475 -1.807
1.345 -4.004 -3.509
0.240 -5.944 2.578
Ba Na Hg
1 2 1
direct
0.495 0.495 0.514 Ba
0.013 0.013 0.961 Na
0.281 0.281 0.158 Na
0.711 0.711 0.867 Hg
```

VASP calculation (PBE) on a geometry-optimized LiCe2NdTl4 structure.

Total energy: -3.77 eV/atom
Density: 9.16 g/cm3
ΔH_f (0 K): -0.269 eV/atom
DOS at the Fermi energy: 2.05 states/eV/atom
SG: R-3m, No. 166

```
LiCe2NdTl4
1.0
-1.496 4.060 3.161
-4.574 2.612 -0.979
-6.502 -3.607 6.096
Li Ce Nd Tl
1 2 1 4
direct
0.500 0.500 0.500 Li
0.756 0.756 0.733 Ce
0.244 0.244 0.267 Ce
0.000 0.000 0.000 Nd
0.378 0.378 0.867 Tl
0.873 0.873 0.381 Tl
0.127 0.127 0.619 Tl
0.622 0.622 0.133 Tl
```

VASP calculation (PBE) on a geometry-optimized Ga2Cu7Sb2Au structure.

Total energy: -3.77 eV/atom
Density: 8.70 g/cm3
DOS at the Fermi energy: 0.41 states/eV/atom
Formation energy without anion corrections: 0.08 eV/atom
SG: C2/m, No. 12

```
Ga2Cu7Sb2Au
1.0
3.722 0.007 -0.094
0.011 3.722 -0.094
1.559 1.557 14.035
Ga Cu Sb Au
2 7 2 1
direct
0.597 0.597 0.735 Ga
0.403 0.403 0.265 Ga
0.500 0.500 0.000 Cu
0.321 0.321 0.444 Cu
0.679 0.679 0.556 Cu
0.952 0.454 0.139 Cu
0.454 0.952 0.139 Cu
0.546 0.048 0.861 Cu
0.048 0.546 0.861 Cu
0.846 0.846 0.374 Sb
0.154 0.154 0.626 Sb
0.000 0.000 0.000 Au
```

VASP calculation (PBE) on a geometry-optimized HfCoHPt2 structure.

Total energy: -7.07 eV/atom
Density: 16.48 g/cm3
DOS at the Fermi energy: 0.06 states/eV/atom
SG: P4/mmm, No. 123

```
HfCoHPt2
1.0
-3.043 -2.504 -0.552
1.012 -1.961 3.312
-2.368 2.404 2.146
Co Hf Pt H
1 1 2 1
direct
0.000 0.000 0.500 Co
0.500 0.500 0.500 Hf
0.000 0.500 0.000 Pt
0.500 0.000 0.000 Pt
0.000 0.000 0.000 H
```

VASP calculation (PBE) on a geometry-optimized CaYIn2 structure.

Total energy: -3.87 eV/atom
Density: 5.25 g/cm3
ΔH_f (0 K): -0.381 eV/atom
DOS at the Fermi energy: 0.64 states/eV/atom
SG: Cm, No. 8

```
CaYIn2
1.0
-2.647 -0.526 -5.738
0.796 -1.494 -6.110
-1.553 -5.227 -0.768
Y Ca In
1 1 2
direct
0.515 0.515 0.443 Y
0.736 0.736 0.803 Ca
0.979 0.979 0.960 In
0.270 0.270 0.295 In
```

VASP calculation (PBE) on a geometry-optimized Ca2Nd2Dy structure.

Polymorph energy (0 for the lowest one): 343 meV per atom
Total energy: -3.25 eV/atom
Density: 4.68 g/cm3
ΔH_f (0 K): 0.378 eV/atom
DOS at the Fermi energy: 1.39 states/eV/atom
SG: I4/mmm, No. 139

```
Ca2Nd2Dy
1.0
-3.763 -0.055 2.699
1.898 -3.345 2.579
4.577 7.780 2.566
Ca Nd Dy
2 2 1
direct
0.750 0.250 0.500 Ca
0.250 0.750 0.500 Ca
0.412 0.412 0.823 Nd
0.588 0.588 0.177 Nd
0.000 0.000 0.000 Dy
```

VASP calculation (PBE) on a geometry-optimized Co2Mo3 structure.

Polymorph energy (0 for the lowest one): 0 meV per atom
Total energy: -9.18 eV/atom
Density: 9.76 g/cm3
ΔH_f (0 K): 0.162 eV/atom
DOS at the Fermi energy: 1.15 states/eV/atom
SG: Fdd2, No. 43

```
Co2Mo3
1.0
-6.145 0.895 4.946
-6.562 1.900 -0.131
-2.026 -4.020 2.588
Co Mo
4 6
direct
0.197 0.896 0.362 Co
0.546 0.362 0.896 Co
0.354 0.053 0.704 Co
0.888 0.704 0.053 Co
0.748 0.467 0.356 Mo
0.429 0.356 0.467 Mo
0.783 0.502 0.821 Mo
0.894 0.821 0.502 Mo
0.080 0.920 0.920 Mo
0.330 0.170 0.170 Mo
```

VASP calculation (PBE) on a geometry-optimized PuAl10Ni2 structure.

Total energy: -5.19 eV/atom
Density: 5.05 g/cm3
ΔH_f (0 K): -0.314 eV/atom
DOS at the Fermi energy: 0.80 states/eV/atom
SG: Fmmm, No. 69

```
PuAl10Ni2
1.0
-2.491 -4.459 -1.018
4.426 -5.082 -1.891
-0.655 -3.900 5.362
Pu Al Ni
1 10 2
direct
0.000 0.000 0.000 Pu
0.346 0.639 0.670 Al
0.654 0.361 0.330 Al
0.985 0.361 0.670 Al
0.015 0.639 0.330 Al
0.000 0.000 0.500 Al
0.500 0.000 0.500 Al
0.277 0.235 0.211 Al
0.723 0.765 0.789 Al
0.512 0.765 0.211 Al
0.488 0.235 0.789 Al
0.000 0.500 0.000 Ni
0.500 0.500 0.000 Ni
```

VASP calculation (PBE) on a geometry-optimized PmNd2Tc structure.

Polymorph energy (0 for the lowest one): 0 meV per atom
Total energy: -6.15 eV/atom
Density: 7.50 g/cm3
ΔH_f (0 K): 0.017 eV/atom
DOS at the Fermi energy: 0.87 states/eV/atom
SG: Pnma, No. 62

```
PmNd2Tc
1.0
6.518 0.000 0.000
0.000 7.502 0.000
0.000 0.000 9.626
Pm Nd Tc
4 8 4
direct
0.636 0.547 0.250 Pm
0.864 0.047 0.250 Pm
0.364 0.453 0.750 Pm
0.136 0.953 0.750 Pm
0.167 0.677 0.066 Nd
0.333 0.177 0.434 Nd
0.833 0.323 0.566 Nd
0.667 0.823 0.934 Nd
0.833 0.323 0.934 Nd
0.667 0.823 0.566 Nd
0.167 0.677 0.434 Nd
0.333 0.177 0.066 Nd
0.037 0.391 0.250 Tc
0.463 0.891 0.250 Tc
0.963 0.609 0.750 Tc
0.537 0.109 0.750 Tc
```

VASP calculation (PBE) on a geometry-optimized Th6Bi2Sb3Te structure.

Total energy: -6.46 eV/atom
Density: 9.69 g/cm3
DOS at the Fermi energy: 0.83 states/eV/atom
Formation energy without anion corrections: -0.81 eV/atom
SG: C2/m, No. 12

```
Th6Bi2Sb3Te
1.0
4.541 0.000 0.000
0.000 9.045 0.295
-2.271 -2.634 9.526
Th Bi Sb Te
6 2 3 1
direct
0.333 0.926 0.667 Th
0.664 0.591 0.328 Th
0.667 0.074 0.333 Th
0.996 0.251 0.992 Th
0.004 0.749 0.008 Th
0.336 0.409 0.672 Th
0.834 0.667 0.668 Bi
0.166 0.333 0.332 Bi
0.500 0.500 0.000 Sb
0.831 0.166 0.662 Sb
0.169 0.834 0.338 Sb
0.500 0.000 0.000 Te
```

VASP calculation (PBE) on a geometry-optimized RuCl3 structure.

Total energy: -3.90 eV/atom
Density: 3.10 g/cm3
DOS at the Fermi energy: 0.95 states/eV/atom
Formation energy without anion corrections: -0.20 eV/atom
SG: Pm-3m, No. 221

```
RuCl3
1.0
-2.085 -0.772 -4.262
-3.034 -3.115 2.048
-3.091 3.579 0.864
Ru Cl
1 3
direct
0.000 0.000 0.000 Ru
0.500 0.000 0.000 Cl
0.000 0.500 0.000 Cl
0.000 0.000 0.500 Cl
```

VASP calculation (PBE) on a geometry-optimized AcPaP2O8 structure.

Total energy: -8.06 eV/atom
Density: 5.62 g/cm3
DOS at the Fermi energy: 0.45 states/eV/atom
Formation energy without anion corrections: -2.72 eV/atom
SG: P-3m1, No. 164

```
AcPaP2O8
1.0
5.337 0.000 0.000
-2.669 4.622 0.000
0.000 0.000 7.755
Ac Pa P O
1 1 2 8
direct
0.000 0.000 0.500 Ac
0.000 0.000 0.000 Pa
0.333 0.667 0.709 P
0.667 0.333 0.291 P
0.175 0.350 0.777 O
0.175 0.825 0.777 O
0.650 0.825 0.777 O
0.350 0.175 0.223 O
0.667 0.333 0.489 O
0.333 0.667 0.511 O
0.825 0.650 0.223 O
0.825 0.175 0.223 O
```

VASP calculation (PBE) on a geometry-optimized BeZnCSO structure.

Polymorph energy (0 for the lowest one): 197 meV per atom
Total energy: -4.98 eV/atom
Density: 3.45 g/cm3
Formation energy without anion corrections: -0.32 eV/atom
SG: P1, No. 1

```
BeZnCSO
1.0
3.893 0.000 0.000
-0.829 4.213 0.000
-1.769 -0.631 3.950
C Be Zn S O
1 1 1 1 1
direct
0.223 0.920 0.243 C
0.770 0.004 0.025 Be
0.104 0.579 0.521 Zn
0.598 0.240 0.599 S
0.396 0.813 0.036 O
```

VASP calculation (PBE) on a geometry-optimized Sr2Al4Cd3Hg structure.

Total energy: -2.34 eV/atom
Density: 5.58 g/cm3
ΔH_f (0 K): -0.200 eV/atom
DOS at the Fermi energy: 0.53 states/eV/atom
SG: P-4m2, No. 115

```
Sr2Al4Cd3Hg
1.0
-2.011 1.583 3.776
2.690 -2.661 2.549
7.950 8.626 0.617
Sr Al Cd Hg
2 4 3 1
direct
0.500 0.000 0.252 Sr
0.000 0.500 0.748 Sr
0.500 0.500 0.000 Al
0.000 0.000 0.000 Al
0.500 0.000 0.633 Al
0.000 0.500 0.367 Al
0.000 0.000 0.500 Cd
0.500 0.000 0.862 Cd
0.000 0.500 0.138 Cd
0.500 0.500 0.500 Hg
```

VASP calculation (PBE) on a geometry-optimized Zr2MnW structure.

Polymorph energy (0 for the lowest one): 621 meV per atom
Total energy: -9.14 eV/atom
Density: 9.25 g/cm3
ΔH_f (0 K): 0.668 eV/atom
DOS at the Fermi energy: 1.53 states/eV/atom
SG: I-42d, No. 122

```
Zr2MnW
1.0
7.341 0.000 0.000
0.000 7.341 0.000
3.670 3.670 2.805
Mn Zr W
2 4 2
direct
0.500 0.500 0.000 Mn
0.250 0.750 0.500 Mn
0.607 0.125 0.250 Zr
0.143 0.625 0.250 Zr
0.375 0.393 0.750 Zr
0.875 0.857 0.750 Zr
0.000 0.000 0.000 W
0.750 0.250 0.500 W
```

VASP calculation (PBE) on a geometry-optimized MgTlHg3 structure.

Polymorph energy (0 for the lowest one): 56 meV per atom
Total energy: -0.98 eV/atom
Density: 10.13 g/cm3
ΔH_f (0 K): -0.007 eV/atom
DOS at the Fermi energy: 0.43 states/eV/atom
SG: Imma, No. 74

```
MgTlHg3
1.0
-2.906 -5.335 0.115
1.849 -4.345 5.664
-5.902 -0.151 4.419
Mg Tl Hg
2 2 6
direct
0.500 0.500 0.500 Mg
0.500 0.000 0.000 Mg
0.994 0.756 0.256 Tl
0.006 0.244 0.744 Tl
0.500 0.680 0.820 Hg
0.000 0.680 0.820 Hg
0.000 0.320 0.180 Hg
0.500 0.320 0.180 Hg
0.675 0.075 0.575 Hg
0.325 0.925 0.425 Hg
```

VASP calculation (PBE) on a geometry-optimized Pa2Si6RuPt structure.

Total energy: -7.02 eV/atom
Density: 8.24 g/cm3
DOS at the Fermi energy: 0.86 states/eV/atom
Formation energy without anion corrections: -0.33 eV/atom
SG: R-3m, No. 166

```
Pa2Si6RuPt
1.0
5.853 0.000 0.000
2.927 5.069 0.000
2.927 1.690 12.588
Pa Si Ru Pt
4 12 2 2
direct
0.875 0.875 0.374 Pa
0.125 0.125 0.626 Pa
0.725 0.725 0.825 Pa
0.275 0.275 0.175 Pa
0.933 0.336 0.395 Si
0.336 0.933 0.395 Si
0.336 0.336 0.395 Si
0.067 0.664 0.605 Si
0.664 0.067 0.605 Si
0.664 0.664 0.605 Si
0.772 0.192 0.844 Si
0.192 0.772 0.844 Si
0.192 0.192 0.844 Si
0.228 0.808 0.156 Si
0.808 0.228 0.156 Si
0.808 0.808 0.156 Si
0.000 0.000 0.000 Ru
0.500 0.500 0.500 Ru
0.578 0.578 0.267 Pt
0.422 0.422 0.733 Pt
```

VASP calculation (PBE) on a geometry-optimized LiMnRe2 structure.

Polymorph energy (0 for the lowest one): 32 meV per atom
Total energy: -8.79 eV/atom
Density: 13.38 g/cm3
ΔH_f (0 K): 0.209 eV/atom
DOS at the Fermi energy: 0.57 states/eV/atom
SG: C2/m, No. 12

```
LiMnRe2
1.0
-3.855 2.356 2.072
-3.863 -0.415 3.100
0.653 1.479 3.993
Li Mn Re
1 1 2
direct
0.250 0.250 0.250 Li
0.750 0.750 0.750 Mn
0.008 0.008 0.992 Re
0.492 0.492 0.508 Re
```